No. 1
Y2ZnSe: optimized geometry, GGA-PBE.

Excess energy over the best structure of this formula in the dataset ... 91.4 meV per atom

a = 4.117 Å, b = 4.111 Å, c = 5.872 Å
α = 90.00°, β = 90.00°, γ = 90.00°
Fractional coordinates of all 4 atoms:
Y  0.000  0.000  0.875
Y  0.500  0.500  0.375
Zn  0.000  0.000  0.375
Se  0.500  0.500  0.875

---

No. 2
Y2ZnSe: optimized geometry, GGA-PBE.

Excess energy over the best structure of this formula in the dataset ... 50.5 meV per atom

a = 3.965 Å, b = 3.965 Å, c = 7.642 Å
α = 74.98°, β = 74.98°, γ = 59.93°
Fractional coordinates of all 4 atoms:
Y  0.997  0.997  0.009
Y  0.503  0.503  0.491
Zn  0.750  0.750  0.750
Se  0.250  0.250  0.250

---

No. 3
Y2ZnSe: optimized geometry, GGA-PBE.

Excess energy over the best structure of this formula in the dataset ... 553.8 meV per atom

a = 8.895 Å, b = 8.895 Å, c = 8.895 Å
α = 24.64°, β = 24.64°, γ = 24.64°
Last column: magnetic moment on the atom in μB.
Fractional coordinates of all 4 atoms:
Se  0.757  0.757  0.757  0.02
Y  0.017  0.017  0.017  0.28
Y  0.241  0.241  0.241  0.28
Zn  0.486  0.486  0.486  0.00

---

No. 4
Y2ZnSe: optimized geometry, GGA-PBE.

Excess energy over the best structure of this formula in the dataset ... 164.9 meV per atom

a = 5.910 Å, b = 5.910 Å, c = 4.415 Å
α = 90.00°, β = 90.00°, γ = 37.93°
Fractional coordinates of all 4 atoms:
Se  0.275  0.275  0.125
Y  0.006  0.006  0.125
Y  0.737  0.737  0.625
Zn  0.481  0.481  0.625

---

No. 5
Y2ZnSe: optimized geometry, GGA-PBE.

Excess energy over the best structure of this formula in the dataset ... 362.1 meV per atom

a = 5.342 Å, b = 5.342 Å, c = 5.342 Å
α = 132.77°, β = 117.11°, γ = 82.25°
Fractional coordinates of all 4 atoms:
Se  0.750  0.250  0.500
Y  0.989  0.989  0.000
Y  0.511  0.511  0.000
Zn  0.250  0.750  0.500

---

No. 6
Y2ZnSe: optimized geometry, GGA-PBE.

Excess energy over the best structure of this formula in the dataset ... 0.0 meV per atom

a = 4.204 Å, b = 4.023 Å, c = 11.576 Å
α = 100.01°, β = 90.00°, γ = 90.00°
Fractional coordinates of all 8 atoms:
Y  0.750  0.680  0.359
Y  0.250  0.320  0.641
Y  0.750  0.932  0.863
Y  0.250  0.068  0.137
Zn  0.250  0.461  0.922
Zn  0.750  0.539  0.078
Se  0.250  0.194  0.387
Se  0.750  0.806  0.613

---

No. 7
Y2ZnSe: optimized geometry, GGA-PBE.

Excess energy over the best structure of this formula in the dataset ... 135.2 meV per atom

a = 3.874 Å, b = 3.874 Å, c = 8.047 Å
α = 76.07°, β = 76.07°, γ = 60.00°
Fractional coordinates of all 4 atoms:
Y  0.084  0.084  0.748
Y  0.250  0.250  0.251
Zn  0.667  0.667  0.998
Se  0.499  0.499  0.503

---

No. 8
Y3ZnSe2: optimized geometry, GGA-PBE.

a = 3.989 Å, b = 5.823 Å, c = 7.260 Å
α = 113.64°, β = 105.94°, γ = 90.00°
Fractional coordinates of all 6 atoms:
Y  0.332  0.332  0.664
Y  0.000  0.000  0.000
Y  0.668  0.668  0.336
Zn  0.000  0.500  0.000
Se  0.667  0.167  0.334
Se  0.333  0.833  0.666

---

No. 9
Y4ZnSe3: optimized geometry, GGA-PBE.

a = 5.810 Å, b = 5.810 Å, c = 7.103 Å
α = 114.14°, β = 114.14°, γ = 90.00°
Fractional coordinates of all 8 atoms:
Y  0.000  0.500  0.000
Y  0.500  0.000  0.000
Y  0.250  0.250  0.500
Y  0.750  0.750  0.500
Zn  0.000  0.000  0.000
Se  0.500  0.500  0.000
Se  0.750  0.250  0.500
Se  0.250  0.750  0.500

---

No. 10
Y6ZnSe4: optimized geometry, GGA-PBE.

a = 4.033 Å, b = 6.989 Å, c = 20.743 Å
α = 90.00°, β = 90.00°, γ = 106.77°
Fractional coordinates of all 22 atoms:
Y  0.500  0.000  0.000
Y  0.500  0.000  0.500
Y  0.054  0.108  0.333
Y  0.946  0.892  0.667
Y  0.946  0.892  0.833
Y  0.054  0.108  0.167
Y  0.773  0.547  0.410
Y  0.227  0.453  0.590
Y  0.227  0.453  0.910
Y  0.773  0.547  0.090
Y  0.328  0.656  0.250
Y  0.672  0.344  0.750
Zn  0.665  0.330  0.250
Zn  0.335  0.670  0.750
Se  0.860  0.719  0.539
Se  0.415  0.829  0.125
Se  0.140  0.281  0.461
Se  0.585  0.171  0.875
Se  0.860  0.719  0.961
Se  0.140  0.281  0.039
Se  0.585  0.171  0.625
Se  0.415  0.829  0.375

---

No. 11
Y3ZnSe6: optimized geometry, GGA-PBE.

a = 6.602 Å, b = 9.057 Å, c = 9.057 Å
α = 102.69°, β = 90.00°, γ = 90.00°
Fractional coordinates of all 20 atoms:
Y  0.476  0.927  0.719
Y  0.976  0.719  0.927
Y  0.394  0.389  0.611
Y  0.894  0.611  0.389
Y  0.976  0.073  0.281
Y  0.476  0.281  0.073
Zn  0.026  0.200  0.800
Zn  0.526  0.800  0.200
Se  0.186  0.683  0.640
Se  0.686  0.640  0.683
Se  0.204  0.440  0.908
Se  0.704  0.908  0.440
Se  0.171  0.036  0.964
Se  0.661  0.222  0.778
Se  0.161  0.778  0.222
Se  0.671  0.964  0.036
Se  0.204  0.092  0.560
Se  0.704  0.560  0.092
Se  0.186  0.360  0.317
Se  0.686  0.317  0.360

---

No. 12
Y2ZnSe: optimized geometry, GGA-PBE.

Excess energy over the best structure of this formula in the dataset ... 1051.2 meV per atom

a = 5.115 Å, b = 5.115 Å, c = 5.115 Å
α = 60.00°, β = 60.00°, γ = 60.00°
Fractional coordinates of all 4 atoms:
Se  0.500  0.500  0.500
Y  0.000  0.000  0.000
Y  0.750  0.750  0.750
Zn  0.250  0.250  0.250

---

Results for D(E_F): 2.9; 2.3; 2.7; 2.9; 2.7; 2.8; 3.4; 3.3; 3.1; 7.0; 5.6; 4.3 (in states/eV/f.u., following the order of the records).
Results for energy relative to the elements, uncorrected: -0.991; -1.032; -0.529; -0.918; -0.720; -1.083; -0.947; -1.301; -1.432; -1.362; -1.467; -0.031 (in eV/atom, following the order of the records).